Entry 1:
DFT (PBE-GGA) results for an optimized crystal structure of NiPd4S4.

Summary:
E_form (uncorrected) (eV per atom): -0.1790

```
NiPd4S4
1.0
-2.736 2.736 5.113
2.736 -2.736 5.113
2.736 2.736 -5.113
Ni Pd S
1 4 4
direct
0.000 0.000 0.000
0.000 0.500 0.500
0.356 0.356 0.000
0.500 0.000 0.500
0.644 0.644 0.000
0.052 0.052 0.401
0.349 0.948 0.000
0.651 0.651 0.599
0.948 0.349 0.000
```

Entry 2:
DFT (PBE-GGA) results for an optimized crystal structure of Ni6PdS8.

Summary:
E_form (uncorrected) (eV per atom): -0.2622

```
Ni6PdS8
1.0
4.502 2.600 3.345
-4.502 2.600 3.345
0.000 -5.199 3.345
Ni Pd S
6 1 8
direct
0.185 0.550 0.403
0.403 0.185 0.550
0.450 0.597 0.815
0.550 0.403 0.185
0.597 0.815 0.450
0.815 0.450 0.597
0.000 0.000 0.000
0.154 0.369 0.719
0.230 0.230 0.230
0.281 0.846 0.631
0.369 0.719 0.154
0.631 0.281 0.846
0.719 0.154 0.369
0.770 0.770 0.770
0.846 0.631 0.281
```

Entry 3:
DFT (PBE-GGA) results for an optimized crystal structure of NiPd2S.

Summary:
E_form (uncorrected) (eV per atom): 0.1778

```
NiPd2S
1.0
-1.847 1.847 8.809
1.847 -1.847 8.809
1.847 1.847 -8.809
Ni Pd S
2 4 2
direct
0.000 0.000 0.000
0.750 0.250 0.500
0.128 0.625 0.003
0.375 0.378 0.503
0.622 0.125 0.997
0.875 0.872 0.497
0.250 0.750 0.500
0.500 0.500 0.000
```

Entry 4:
DFT (PBE-GGA) results for an optimized crystal structure of NiPdS2.

Summary:
E_form (uncorrected) (eV per atom): 0.1547
Distance to the lowest polymorph of the same formula (meV/atom): 387

```
NiPdS2
1.0
0.000 3.030 3.030
3.030 0.000 3.030
3.030 3.030 0.000
Ni Pd S
1 1 2
direct
0.000 0.000 0.000
0.500 0.500 0.500
0.250 0.250 0.250
0.750 0.750 0.750
```

Entry 5:
DFT (PBE-GGA) results for an optimized crystal structure of NiPd3S.

Summary:
E_form (uncorrected) (eV per atom): 0.2871
Distance to the lowest polymorph of the same formula (meV/atom): 330

```
NiPd3S
1.0
4.451 0.000 0.000
0.000 4.451 0.000
0.000 0.000 4.451
Ni Pd S
1 3 1
direct
0.000 0.000 0.000
0.000 0.500 0.500
0.500 0.000 0.500
0.500 0.500 0.000
0.500 0.500 0.500
```

Entry 6:
DFT (PBE-GGA) results for an optimized crystal structure of NiPdS2.

Summary:
E_form (uncorrected) (eV per atom): -0.2319
Distance to the lowest polymorph of the same formula (meV/atom): 0

```
NiPdS2
1.0
1.657 0.956 7.013
-1.657 0.956 7.013
0.000 -1.913 7.013
Ni Pd S
1 1 2
direct
0.000 0.000 0.000
0.500 0.500 0.500
0.391 0.391 0.391
0.609 0.609 0.609
```